No. 1
## BaNaHfAu (PBE)

Data for a geometry-optimized BaNaHfAu structure.

a = 3.7039 Å, b = 3.7039 Å, c = 9.1356 Å
α = 90.00°, β = 90.00°, γ = 90.00°
Sites, in units of the cell vectors:
Ba  0.0000  0.0000  0.1822
Hf  0.0000  0.0000  0.7986
Au  0.5000  0.5000  0.9004
Na  0.5000  0.5000  0.5310

Results
The formation enthalpy at 0 K comes out at 1 kJ/mol of atoms. For the total energy, the calculation gives -16.45 eV/cell.

---

No. 2
## Nd3NiPd2 (PBE)

Data for a geometry-optimized Nd3NiPd2 structure.

a = 4.1287 Å, b = 11.9948 Å, c = 11.7999 Å
α = 90.00°, β = 90.00°, γ = 90.00°
Sites, in units of the cell vectors:
Nd  0.7500  0.3035  0.7791
Nd  0.2500  0.1251  0.5543
Nd  0.7500  0.9462  0.1218
Nd  0.2500  0.3749  0.0543
Nd  0.2500  0.0538  0.8782
Nd  0.2500  0.8035  0.7209
Nd  0.7500  0.6251  0.9457
Nd  0.7500  0.5538  0.6218
Nd  0.2500  0.4462  0.3782
Nd  0.2500  0.6965  0.2209
Nd  0.7500  0.8749  0.4457
Nd  0.7500  0.1965  0.2791
Pd  0.2500  0.8055  0.9915
Pd  0.7500  0.3055  0.5085
Pd  0.2500  0.0084  0.3155
Pd  0.2500  0.6945  0.4915
Pd  0.2500  0.4916  0.8155
Pd  0.7500  0.5084  0.1845
Pd  0.7500  0.9916  0.6845
Pd  0.7500  0.1945  0.0085
Ni  0.7500  0.6285  0.3783
Ni  0.2500  0.3715  0.6217
Ni  0.7500  0.8715  0.8783
Ni  0.2500  0.1285  0.1217

Results
The formation enthalpy at 0 K comes out at -58 kJ/mol of atoms. For the total energy, the calculation gives -136.28 eV/cell.